Compound: SrSm2Nb2O9
Source: the Alexandria database
Functional: GGA-PBE
Structure: relaxed

Values from the calculation:
* ΔE_f (raw): -290.2 kJ/mol of atoms
* Fermi-level density of states: 0.00 states/eV/f.u.
* volume: 14.35 A^3/atom
* space-group type: Cmc2_1 (36)
* density: 5.9 g cm⁻³

```
SrSm2Nb2O9
1.0
-12.482 2.864 0.205
10.560 -5.414 -4.818
-1.037 -4.738 3.052
Sr Sm Nb O
2 4 4 18
Cartesian
-1.439 -5.047 1.719
-1.900 -3.979 -2.160
-6.765 -2.800 -0.973
4.269 -2.377 -1.948
-5.160 1.011 0.108
2.664 -6.187 -3.029
1.023 -3.321 -0.297
-4.333 -5.572 -0.230
-0.456 -6.965 -1.075
-2.854 -1.928 0.548
-0.996 -2.573 -0.329
-2.216 -5.873 -0.487
-9.587 -0.583 -0.004
6.345 -7.999 -0.723
-9.593 -2.273 2.751
6.351 -6.309 -3.478
3.794 -6.895 -1.149
-6.791 -0.566 -0.300
4.296 -4.549 -2.717
-7.292 -2.912 1.267
-11.763 -0.882 1.757
8.987 -5.573 -3.855
-11.121 1.651 0.528
8.344 -8.106 -2.626
-3.809 -3.439 -0.185
1.163 -2.421 -2.295
-3.143 -0.874 -1.357
0.497 -4.986 -1.124
```

Compound: LiCaTc2
Source: the Alexandria database
Functional: GGA-PBE
Structure: relaxed

Values from the calculation:
* energy relative to the elements: 560 meV per atom
* excess energy over the best structure of this formula in the dataset: 7.80 kcal/mol of atoms
* Fermi-level density of states: 2.83 states/eV/f.u.
* volume: 16.46 A^3/atom
* space-group type: P4/mmm (123)
* density: 6.1 g cm⁻³

```
LiCaTc2
1.0
-0.717 -1.884 -1.685
0.873 -1.830 1.670
-8.615 -0.379 4.089
Ca Li Tc
1 1 2
Cartesian
-2.075 -1.952 1.015
-6.383 -2.142 3.059
-8.475 -0.373 4.022
-4.447 -0.196 2.111
```

Compound: Ho8CuP3Se4
Source: the Alexandria database
Functional: GGA-PBE
Structure: relaxed

Values from the calculation:
* ΔE_f (raw): -149.2 kJ/mol of atoms
* Fermi-level density of states: 8.96 states/eV/f.u.
* volume: 23.12 A^3/atom
* space-group type: R-3m (166)
* density: 8.0 g cm⁻³

```
Ho8CuP3Se4
1.0
-5.600 5.428 -1.841
-5.353 -3.955 4.621
6.980 2.355 3.153
Ho Cu P Se
8 1 3 4
Cartesian
1.594 0.758 6.058
-1.877 -0.413 4.490
0.694 1.533 2.409
-1.190 3.457 5.142
-2.783 0.371 0.791
-4.667 2.296 3.525
-2.096 4.242 1.444
-5.567 3.071 -0.124
-2.677 -1.977 2.311
-5.476 0.737 1.390
-1.987 1.914 2.967
0.813 -0.800 3.887
-2.800 2.714 -0.921
0.690 3.892 0.656
0.000 0.000 0.000
3.490 1.178 1.577
```

Compound: Zr2ZnIn
Source: the Alexandria database
Functional: GGA-PBE
Structure: relaxed

Values from the calculation:
* energy relative to the elements: -124 meV per atom
* Fermi-level density of states: 2.91 states/eV/f.u.
* volume: 21.10 A^3/atom
* space-group type: P4mm (99)
* density: 7.1 g cm⁻³

```
Zr2ZnIn
1.0
3.161 0.032 0.000
-0.036 3.161 0.000
0.000 0.000 8.444
In Zn Zr
1 1 2
Cartesian
0.000 0.000 4.405
1.563 1.597 6.330
0.000 0.000 8.244
1.563 1.597 2.132
```

Compound: Ca2Pr5Sm6
Source: the Alexandria database
Functional: GGA-PBE
Structure: relaxed

Values from the calculation:
* energy relative to the elements: 138 meV per atom
* Fermi-level density of states: 18.03 states/eV/f.u.
* volume: 36.16 A^3/atom
* space-group type: Pbam (55)
* density: 6.0 g cm⁻³

```
Ca2Pr5Sm6
1.0
-4.553 2.216 -1.835
0.312 -7.889 -10.302
-7.177 -9.135 6.778
Ca Pr Sm
4 10 12
Cartesian
-1.261 -4.958 -2.860
-5.605 -12.066 -0.664
-1.919 -9.940 -7.241
-4.946 -7.084 3.717
-4.984 -5.623 -2.326
-6.434 -9.186 -3.032
-2.754 -6.928 -9.436
-8.664 -7.881 4.078
-3.706 -5.711 -5.605
-7.712 -9.098 0.246
-4.215 -2.216 -0.120
-7.203 -12.593 -5.238
-2.120 -2.837 -6.068
-5.865 -3.460 2.472
-2.914 -5.361 0.756
-3.951 -11.663 -4.280
-0.394 -6.298 -6.627
-6.471 -10.727 3.103
-2.820 -1.818 -3.101
-8.598 -12.991 -2.257
-4.997 -8.732 -6.049
-6.421 -6.077 0.691
-2.733 -8.454 -3.426
-4.132 -8.571 -0.098
-0.636 -1.642 -0.403
-6.229 -15.383 -3.121
```

Compound: KSNF2
Source: the Alexandria database
Functional: GGA-PBE
Structure: relaxed

Values from the calculation:
* ΔE_f (raw): -79.3 kJ/mol of atoms
* excess energy over the best structure of this formula in the dataset: 0.00 kcal/mol of atoms
* Fermi-level density of states: 0.77 states/eV/f.u.
* volume: 14.46 A^3/atom
* space-group type: P4/mmm (123)
* density: 2.8 g cm⁻³

```
KSNF2
1.0
-1.558 4.236 -1.085
-2.426 0.121 3.956
2.629 1.370 1.570
K N S F
1 1 1 2
Cartesian
-0.677 2.863 2.221
1.315 0.685 0.785
0.000 0.000 0.000
-1.213 0.060 1.978
-0.779 2.118 -0.542
```

Compound: LiY2V
Source: the Alexandria database
Functional: GGA-PBE
Structure: relaxed

Values from the calculation:
* energy relative to the elements: 211 meV per atom
* excess energy over the best structure of this formula in the dataset: 0.00 kcal/mol of atoms
* Fermi-level density of states: 3.68 states/eV/f.u.
* volume: 24.93 A^3/atom
* space-group type: P4/mmm (123)
* density: 3.9 g cm⁻³

```
LiY2V
1.0
-2.452 -0.261 2.616
1.381 -3.172 0.978
4.802 3.589 4.859
Y Li V
2 1 1
Cartesian
3.733 2.790 3.776
1.070 0.800 1.082
1.866 0.078 4.226
-0.535 -1.716 1.797
```

Compound: SrMnNbPd2
Source: the Alexandria database
Functional: GGA-PBE
Structure: relaxed

Values from the calculation:
* energy relative to the elements: 339 meV per atom
* Fermi-level density of states: 3.17 states/eV/f.u.
* volume: 23.60 A^3/atom
* space-group type: P4/mmm (123)
* density: 6.3 g cm⁻³

```
SrMnNbPd2
1.0
-5.060 -0.127 0.096
0.102 -0.633 4.560
-0.112 5.013 0.698
Sr Nb Mn Pd
1 1 1 2
Cartesian
-2.535 2.127 2.677
0.000 0.000 0.000
0.051 -0.316 2.280
-0.056 2.506 0.349
-2.530 -0.063 0.048
```